(1)
The following is a DFT calculation (PBE) of crystalline PmPr2AlN at its relaxed geometry.

Computed properties:
uncorrected formation energy: -0.74 eV per atom

Cell lengths 5.047, 5.047, 4.952 Å; angles 90.00, 90.00, 90.00 degrees
Space group P4/mmm (No. 123)
One atom of each set of equivalent atoms:
1 Pm 0.000 0.000 0.000 [1 per cell]
2 Pr 0.000 0.500 0.500 [2 per cell]
3 Al 0.500 0.500 0.000 [1 per cell]
4 N 0.000 0.000 0.500 [1 per cell]

---

(2)
The following is a DFT calculation (PBE) of crystalline PmPr12Al4N3 at its relaxed geometry.

Computed properties:
uncorrected formation energy: -0.31 eV per atom

Cell lengths 10.275, 10.275, 10.275 Å; angles 90.00, 90.00, 90.00 degrees
Space group Im-3m (No. 229)
One atom of each set of equivalent atoms:
1 Pm 0.000 0.000 0.000 [2 per cell]
2 Pr 0.000 0.000 0.274 [12 per cell]
3 Pr 0.000 0.250 0.500 [12 per cell]
4 Al 0.250 0.250 0.250 [8 per cell]
5 N 0.000 0.000 0.500 [6 per cell]